(1)
Material: Sb2RhICl
Method: DFT, PBE
State: relaxed

Values from the calculation:
The calculation puts the uncorrected formation energy at 0.8 eV/f.u.

abc: 5.1377 5.1377 5.5301
angles: 90.00 90.00 90.00
Last column: nearest neighbours and their distance in Å.
Fractional coordinates of all 5 atoms:
Sb 0.5000 0.0000 0.0000  2 Rh 2.57
Sb 0.0000 0.5000 0.0000  2 Rh 2.57
Rh 0.0000 0.0000 0.0000  4 Sb 2.57, 2 I 2.77
Cl 0.5000 0.5000 0.5000  4 I 3.63, 8 Sb 3.77
I 0.0000 0.0000 0.5000  2 Rh 2.77

---

(2)
Material: Ba3VNi
Method: DFT, PBE
State: relaxed

Values from the calculation:
The formation energy from the elements comes out at 0.5916 eV/atom.

abc: 5.9674 5.9674 5.9674
angles: 90.00 90.00 90.00
Last column: nearest neighbours and their distance in Å.
Fractional coordinates of all 5 atoms:
Ba 0.5000 0.0000 0.0000  2 Ni 2.98
Ba 0.0000 0.5000 0.0000  2 Ni 2.98
Ba 0.0000 0.0000 0.5000  2 Ni 2.98
Ni 0.0000 0.0000 0.0000  6 Ba 2.98
V 0.5000 0.5000 0.5000  12 Ba 4.22